(1)
Computed, not measured: Ce2HfTh after structural relaxation at the PBE level of DFT.

Output
For the size of the total moment, the calculation gives 0.00 μB/cell. As for the energy above the most stable polymorph in this dataset: 207 meV/atom. Its space-group type is R-3m, No. 166.

Unit cell a=11.9939 b=11.9939 c=11.9939 alpha=15.59 beta=15.59 gamma=15.59
With the nearest neighbours (Å) after each atom.
Fractional coordinates of all 4 atoms:
Ce 0.0821 0.0821 0.0821  1 Hf 2.92, 6 Ce 3.25
Ce 0.9179 0.9179 0.9179  1 Hf 2.92, 6 Ce 3.25
Hf 0.0000 0.0000 0.0000  2 Ce 2.92, 6 Hf 3.25
Th 0.5000 0.5000 0.5000  6 Th 3.25, 6 Ce 3.54

(2)
Computed, not measured: Ce8HfTh3 after structural relaxation at the PBE level of DFT.

Output
For the size of the total moment, the calculation gives 0.00 μB/cell. Its space-group type is I-42m, No. 121.

Unit cell a=8.0231 b=8.0231 c=8.0231 alpha=117.21 beta=117.21 gamma=94.90
With the nearest neighbours (Å) after each atom.
Fractional coordinates of all 12 atoms:
Ce 0.1190 0.1190 0.7379  2 Ce 2.78-3.10
Ce 0.2008 0.2008 0.4761  1 Ce 2.78, 1 Hf 2.84
Ce 0.2753 0.7992 0.0000  1 Ce 2.78, 1 Hf 2.84
Ce 0.3810 0.3810 0.2621  2 Ce 2.78-3.10
Ce 0.6190 0.8810 0.0000  2 Ce 2.78-3.10
Ce 0.7247 0.7247 0.5239  1 Ce 2.78, 1 Hf 2.84
Ce 0.7992 0.2753 0.0000  1 Ce 2.78, 1 Hf 2.84
Ce 0.8810 0.6190 0.0000  2 Ce 2.78-3.10
Hf 0.0000 0.0000 0.0000  8 Ce 2.84-3.12
Th 0.2500 0.7500 0.5000  4 Ce 3.27
Th 0.5000 0.5000 0.0000  8 Ce 3.12
Th 0.7500 0.2500 0.5000  4 Ce 3.27

(3)
Computed, not measured: CeHfTh2 after structural relaxation at the PBE level of DFT.

Output
For the size of the total moment, the calculation gives 0.00 μB/cell. As for the energy above the most stable polymorph in this dataset: 302 meV/atom. Its space-group type is R-3m, No. 166.

Unit cell a=12.3811 b=12.3811 c=12.3811 alpha=15.33 beta=15.33 gamma=15.33
With the nearest neighbours (Å) after each atom.
Fractional coordinates of all 4 atoms:
Ce 0.0000 0.0000 0.0000  6 Ce 3.30, 6 Th 3.61
Hf 0.5000 0.5000 0.5000  2 Th 3.05, 6 Hf 3.30
Th 0.4169 0.4169 0.4169  1 Hf 3.05, 6 Th 3.30
Th 0.5831 0.5831 0.5831  1 Hf 3.05, 6 Th 3.30

(4)
Computed, not measured: CeHfTh2 after structural relaxation at the PBE level of DFT.

Output
For the size of the total moment, the calculation gives 0.00 μB/cell. As for the energy above the most stable polymorph in this dataset: 45 meV/atom. Its space-group type is R3m, No. 160.

Unit cell a=11.2970 b=11.2970 c=11.2970 alpha=17.43 beta=17.43 gamma=17.43
With the nearest neighbours (Å) after each atom.
Fractional coordinates of all 4 atoms:
Ce 0.0000 0.0000 0.0000  6 Ce 3.42, 6 Th 3.45-3.49
Hf 0.1680 0.1680 0.1680  6 Th 3.34-3.37, 6 Hf 3.42
Th 0.5819 0.5819 0.5819  3 Hf 3.34, 6 Th 3.42, 3 Ce 3.45
Th 0.7527 0.7527 0.7527  3 Hf 3.37, 6 Th 3.42, 3 Ce 3.49

(5)
Computed, not measured: Ce2HfTh after structural relaxation at the PBE level of DFT.

Output
For the size of the total moment, the calculation gives 0.00 μB/cell. As for the energy above the most stable polymorph in this dataset: 20 meV/atom. Its space-group type is P4/mmm, No. 123.

Unit cell a=4.6851 b=4.6851 c=4.9869 alpha=90.00 beta=90.00 gamma=90.00
With the nearest neighbours (Å) after each atom.
Fractional coordinates of all 4 atoms:
Ce 0.0000 0.5000 0.0000  4 Ce 3.31, 4 Th 3.42, 4 Hf 3.42
Ce 0.5000 0.0000 0.0000  4 Ce 3.31, 4 Th 3.42, 4 Hf 3.42
Hf 0.0000 0.0000 0.5000  4 Th 3.31, 8 Ce 3.42
Th 0.5000 0.5000 0.5000  4 Hf 3.31, 8 Ce 3.42

(6)
Computed, not measured: CeHf2Th after structural relaxation at the PBE level of DFT.

Output
For the size of the total moment, the calculation gives 0.53 μB/cell. As for the energy above the most stable polymorph in this dataset: 107 meV/atom. Its space-group type is Fm-3m, No. 225.

Unit cell a=5.2915 b=5.2915 c=5.2915 alpha=60.00 beta=60.00 gamma=60.00
With the nearest neighbours (Å) after each atom.
Fractional coordinates of all 4 atoms:
Ce 0.0000 0.0000 0.0000  8 Hf 3.24
Hf 0.2500 0.2500 0.2500  4 Ce 3.24, 4 Th 3.24
Hf 0.7500 0.7500 0.7500  4 Th 3.24, 4 Ce 3.24
Th 0.5000 0.5000 0.5000  8 Hf 3.24

(7)
Computed, not measured: CeHfThZr after structural relaxation at the PBE level of DFT.

Output
For the size of the total moment, the calculation gives 0.71 μB/cell. Its space-group type is F-43m, No. 216.

Unit cell a=5.3070 b=5.3070 c=5.3070 alpha=60.00 beta=60.00 gamma=60.00
With the nearest neighbours (Å) after each atom.
Fractional coordinates of all 4 atoms:
Ce 0.0000 0.0000 0.0000  4 Hf 3.25, 4 Zr 3.25
Hf 0.7500 0.7500 0.7500  4 Th 3.25, 4 Ce 3.25
Th 0.5000 0.5000 0.5000  4 Hf 3.25, 4 Zr 3.25
Zr 0.2500 0.2500 0.2500  4 Th 3.25, 4 Ce 3.25

(8)
Computed, not measured: CeHfTi after structural relaxation at the PBE level of DFT.

Output
For the size of the total moment, the calculation gives 0.00 μB/cell. As for the energy above the most stable polymorph in this dataset: 0 meV/atom. Its space-group type is Cmcm, No. 63.

Unit cell a=8.9182 b=8.9182 c=4.9888 alpha=90.00 beta=90.00 gamma=160.27
With the nearest neighbours (Å) after each atom.
Fractional coordinates of all 6 atoms:
Ce 0.0431 0.9569 0.7500  4 Ce 2.92-3.06
Ce 0.9569 0.0431 0.2500  4 Ce 2.92-3.06
Hf 0.3646 0.6354 0.7500  4 Ti 2.92-2.94, 2 Hf 3.06
Hf 0.6354 0.3646 0.2500  4 Ti 2.92-2.94, 2 Hf 3.06
Ti 0.2781 0.7219 0.2500  4 Hf 2.92-2.94, 6 Ti 3.06-3.09
Ti 0.7219 0.2781 0.7500  4 Hf 2.92-2.94, 6 Ti 3.06-3.09

(9)
Computed, not measured: CeHfTi after structural relaxation at the PBE level of DFT.

Output
For the size of the total moment, the calculation gives 0.00 μB/cell. As for the energy above the most stable polymorph in this dataset: 69 meV/atom. Its space-group type is P3m1, No. 156.

Unit cell a=5.0047 b=5.0047 c=3.1787 alpha=90.00 beta=90.00 gamma=120.00
With the nearest neighbours (Å) after each atom.
Fractional coordinates of all 3 atoms:
Ce 0.0000 0.0000 0.0000  2 Ce 3.18, 6 Ti 3.21-3.39, 6 Hf 3.23-3.37
Hf 0.3333 0.6667 0.4560  3 Ti 2.91, 2 Hf 3.18, 3 Ce 3.23
Ti 0.6667 0.3333 0.5602  3 Hf 2.91, 2 Ti 3.18, 3 Ce 3.21

(10)
Computed, not measured: CeHf2Ti after structural relaxation at the PBE level of DFT.

Output
For the size of the total moment, the calculation gives 0.00 μB/cell. As for the energy above the most stable polymorph in this dataset: 53 meV/atom. Its space-group type is P4/mmm, No. 123.

Unit cell a=3.5023 b=3.5023 c=7.4351 alpha=90.00 beta=90.00 gamma=90.00
With the nearest neighbours (Å) after each atom.
Fractional coordinates of all 4 atoms:
Ce 0.0000 0.0000 0.0000  8 Hf 3.30, 4 Ce 3.50
Hf 0.5000 0.5000 0.2941  4 Ti 2.91, 1 Hf 3.06
Hf 0.5000 0.5000 0.7059  4 Ti 2.91, 1 Hf 3.06
Ti 0.0000 0.0000 0.5000  8 Hf 2.91

(11)
Computed, not measured: CeHfTi4 after structural relaxation at the PBE level of DFT.

Output
For the size of the total moment, the calculation gives 2.96 μB/cell. Its space-group type is F-43m, No. 216.

Unit cell a=5.5337 b=5.5337 c=5.5337 alpha=60.00 beta=60.00 gamma=60.00
With the nearest neighbours (Å) after each atom.
Fractional coordinates of all 6 atoms:
Ce 0.0000 0.0000 0.0000  12 Ti 3.25, 4 Hf 3.39
Hf 0.2500 0.2500 0.2500  12 Ti 3.24, 4 Ce 3.39
Ti 0.1264 0.6245 0.6245  6 Ti 2.76-2.78
Ti 0.6245 0.1264 0.6245  6 Ti 2.76-2.78
Ti 0.6245 0.6245 0.1264  6 Ti 2.76-2.78
Ti 0.6245 0.6245 0.6245  6 Ti 2.76-2.78

(12)
Computed, not measured: CeHf2Ti after structural relaxation at the PBE level of DFT.

Output
For the size of the total moment, the calculation gives 0.00 μB/cell. As for the energy above the most stable polymorph in this dataset: 102 meV/atom. Its space-group type is R-3m, No. 166.

Unit cell a=5.0678 b=5.0678 c=5.0678 alpha=58.57 beta=58.57 gamma=58.57
With the nearest neighbours (Å) after each atom.
Fractional coordinates of all 4 atoms:
Ce 0.0000 0.0000 0.0000  8 Hf 2.96-3.11
Hf 0.2358 0.2358 0.2358  4 Ce 2.96-3.11, 3 Ti 2.99
Hf 0.7642 0.7642 0.7642  4 Ce 2.96-3.11, 3 Ti 2.99
Ti 0.5000 0.5000 0.5000  8 Hf 2.99-3.31

(13)
Computed, not measured: CeHf2Ti after structural relaxation at the PBE level of DFT.

Output
For the size of the total moment, the calculation gives 0.00 μB/cell. As for the energy above the most stable polymorph in this dataset: 0 meV/atom. Its space-group type is R3m, No. 160.

Unit cell a=10.6573 b=10.6573 c=10.6573 alpha=16.85 beta=16.85 gamma=16.85
With the nearest neighbours (Å) after each atom.
Fractional coordinates of all 4 atoms:
Ce 0.0000 0.0000 0.0000  6 Ce 3.12, 6 Hf 3.37-3.39
Hf 0.2429 0.2429 0.2429  3 Ti 3.00, 6 Hf 3.12
Hf 0.4245 0.4245 0.4245  3 Ti 2.98, 6 Hf 3.12
Ti 0.8333 0.8333 0.8333  6 Hf 2.98-3.00, 6 Ti 3.12

(14)
Computed, not measured: CeHf2Ti after structural relaxation at the PBE level of DFT.

Output
For the size of the total moment, the calculation gives 0.00 μB/cell. As for the energy above the most stable polymorph in this dataset: 65 meV/atom. Its space-group type is P4/mmm, No. 123.

Unit cell a=4.4712 b=4.4712 c=4.4787 alpha=90.00 beta=90.00 gamma=90.00
With the nearest neighbours (Å) after each atom.
Fractional coordinates of all 4 atoms:
Ce 0.0000 0.0000 0.0000  4 Ti 3.16, 8 Hf 3.16
Hf 0.0000 0.5000 0.5000  4 Hf 3.16, 4 Ce 3.16, 4 Ti 3.16
Hf 0.5000 0.0000 0.5000  4 Hf 3.16, 4 Ce 3.16, 4 Ti 3.16
Ti 0.5000 0.5000 0.0000  4 Ce 3.16, 8 Hf 3.16

(15)
Computed, not measured: Ce2HfTl after structural relaxation at the PBE level of DFT.

Output
For the size of the total moment, the calculation gives 0.60 μB/cell. As for the energy above the most stable polymorph in this dataset: 2 meV/atom. Its space-group type is P4/mmm, No. 123.

Unit cell a=3.2425 b=3.2425 c=10.0578 alpha=90.00 beta=90.00 gamma=90.00
With the nearest neighbours (Å) after each atom.
Fractional coordinates of all 4 atoms:
Ce 0.0000 0.0000 0.2414  4 Ce 3.24, 4 Hf 3.34, 4 Tl 3.47
Ce 0.0000 0.0000 0.7586  4 Ce 3.24, 4 Hf 3.34, 4 Tl 3.47
Hf 0.5000 0.5000 0.0000  4 Hf 3.24, 8 Ce 3.34
Tl 0.5000 0.5000 0.5000  4 Tl 3.24, 8 Ce 3.47

no.,energy of formation (eV/atom),calculated volume (Å³ per cell)
1,0.309,108.6
2,0.560,379.1
3,0.378,115.5
4,0.121,112.9
5,0.122,109.5
6,0.274,104.8
7,0.239,105.7
8,0.131,133.9
9,0.200,68.9
10,0.175,91.2
11,0.234,119.8
12,0.224,89.0
13,0.122,88.7
14,0.188,89.5
15,-0.018,105.7